DyYCdNi | the Alexandria database | GGA-PBE | relaxed; calculated formation energy = -1.464 eV per formula unit; relative energy among the computed polymorphs = 0.0 meV per atom; total energy = -19.23 eV for the cell shown; DOS at the Fermi energy = 0.6072 states/eV per atom
1.0
-3.199 1.315 0.011
-0.482 -1.147 -3.227
-2.700 -6.589 2.745
Dy Y Cd Ni
1 1 1 1
direct
0.500 0.500 0.783
0.500 0.500 0.358
0.000 0.000 0.069
0.000 0.000 0.575

=====

DyZnCdNi | the Alexandria database | GGA-PBE | relaxed; calculated formation energy = -0.946 eV per formula unit; total energy = -13.52 eV for the cell shown; DOS at the Fermi energy = 0.8684 states/eV per atom
1.0
4.712 0.000 0.000
2.356 4.080 0.000
2.356 1.360 3.847
Ni Zn Cd Dy
1 1 1 1
direct
0.750 0.750 0.750
0.250 0.250 0.250
0.000 0.000 0.000
0.500 0.500 0.500

=====

DyNpCd | the Alexandria database | GGA-PBE | relaxed; calculated formation energy = 0.355 eV per formula unit; total energy = -36.21 eV for the cell shown; DOS at the Fermi energy = 1.4996 states/eV per atom
1.0
4.629 0.000 0.000
0.000 3.183 0.000
0.000 1.591 9.827
Dy Np Cd
2 2 2
direct
0.250 0.126 0.749
0.750 0.874 0.251
0.250 0.476 0.047
0.750 0.524 0.953
0.750 0.708 0.583
0.250 0.292 0.417

=====

DyNpCd2O6 | the Alexandria database | GGA-PBE | relaxed; ΔE_f (raw) = -2231 kJ/mol of formula units; total energy = -144.50 eV for the cell shown; DOS at the Fermi energy = 0.6882 states/eV per atom
1.0
5.740 0.000 -0.054
0.000 5.859 0.000
-0.026 0.000 8.467
Dy Np Cd O
2 2 4 12
direct
0.500 0.000 0.000
0.000 0.500 0.500
0.500 0.000 0.500
0.000 0.500 0.000
0.999 0.960 0.250
0.499 0.540 0.750
0.001 0.040 0.750
0.501 0.460 0.250
0.312 0.672 0.063
0.812 0.828 0.563
0.688 0.328 0.937
0.188 0.172 0.437
0.333 0.690 0.433
0.833 0.810 0.933
0.667 0.310 0.567
0.167 0.190 0.067
0.883 0.576 0.246
0.383 0.924 0.746
0.117 0.424 0.754
0.617 0.076 0.254

=====

Dy2CdO | the Alexandria database | GGA-PBE | relaxed; ΔE_f (raw) = -450 kJ/mol of formula units; total energy = -19.74 eV for the cell shown; DOS at the Fermi energy = 0.6645 states/eV per atom
1.0
-0.390 -3.287 -1.070
1.917 -2.531 1.422
-5.769 -3.213 6.317
Cd O Dy
1 1 2
direct
0.000 0.000 0.000
0.500 0.500 0.500
0.117 0.117 0.649
0.883 0.883 0.351

=====

Dy3Cd5O12 | the Alexandria database | GGA-PBE | relaxed; ΔE_f (raw) = -3058 kJ/mol of formula units; total energy = -438.30 eV for the cell shown; DOS at the Fermi energy = 0.8460 states/eV per atom
1.0
-5.688 -4.975 -8.606
9.860 -5.550 1.772
-6.364 -0.392 9.514
Dy Cd O
12 20 48
direct
0.750 0.375 0.125
0.875 0.750 0.125
0.375 0.750 0.625
0.250 0.125 0.375
0.875 0.125 0.250
0.375 0.625 0.250
0.625 0.375 0.750
0.125 0.875 0.750
0.750 0.875 0.625
0.625 0.250 0.375
0.125 0.250 0.875
0.250 0.625 0.875
0.125 0.375 0.250
0.000 0.500 0.000
0.000 0.000 0.000
0.375 0.250 0.125
0.500 0.000 0.500
0.500 0.500 0.000
0.125 0.750 0.375
0.750 0.125 0.875
0.750 0.625 0.375
0.375 0.125 0.750
0.625 0.875 0.250
0.500 0.500 0.500
0.500 0.000 0.000
0.000 0.000 0.500
0.250 0.375 0.625
0.250 0.875 0.125
0.000 0.500 0.500
0.875 0.250 0.625
0.625 0.750 0.875
0.875 0.625 0.750
0.726 0.141 0.057
0.331 0.557 0.416
0.943 0.359 0.274
0.557 0.226 0.141
0.584 0.726 0.669
0.943 0.584 0.169
0.331 0.774 0.416
0.084 0.916 0.141
0.584 0.943 0.669
0.726 0.584 0.169
0.774 0.443 0.359
0.831 0.916 0.057
0.141 0.726 0.557
0.359 0.416 0.084
0.084 0.916 0.359
0.416 0.141 0.584
0.084 0.169 0.226
0.443 0.669 0.084
0.831 0.916 0.274
0.141 0.416 0.084
0.359 0.943 0.774
0.584 0.641 0.416
0.916 0.831 0.557
0.774 0.331 0.916
0.416 0.359 0.584
0.084 0.169 0.443
0.226 0.669 0.084
0.169 0.084 0.726
0.641 0.057 0.226
0.859 0.584 0.916
0.557 0.331 0.916
0.584 0.859 0.416
0.916 0.831 0.774
0.916 0.084 0.641
0.859 0.274 0.443
0.169 0.084 0.943
0.641 0.584 0.916
0.416 0.057 0.331
0.274 0.416 0.831
0.226 0.557 0.641
0.916 0.084 0.859
0.669 0.226 0.584
0.443 0.774 0.859
0.057 0.416 0.831
0.416 0.274 0.331
0.057 0.641 0.726
0.669 0.443 0.584
0.274 0.859 0.943

=====

Dy2CdO2 | the Alexandria database | GGA-PBE | relaxed; ΔE_f (raw) = -1177 kJ/mol of formula units; total energy = -32.23 eV for the cell shown; DOS at the Fermi energy = 0.2300 states/eV per atom
1.0
-2.343 2.869 1.507
-3.112 -2.510 -0.061
4.082 -1.994 4.837
Dy Cd O
2 1 2
direct
0.662 0.662 0.323
0.338 0.338 0.677
0.000 0.000 0.000
0.750 0.250 0.500
0.250 0.750 0.500

=====

DyCdO | the Alexandria database | GGA-PBE | relaxed; ΔE_f (raw) = -604 kJ/mol of formula units; total energy = -33.48 eV for the cell shown; DOS at the Fermi energy = 0.3843 states/eV per atom
1.0
3.908 0.000 -0.001
0.000 3.908 0.001
0.001 -0.001 8.029
Dy Cd O
2 2 2
direct
0.250 0.750 0.365
0.750 0.250 0.635
0.250 0.750 0.918
0.750 0.250 0.082
0.750 0.750 0.500
0.250 0.250 0.500

=====

Dy3CdO6 | the Alexandria database | GGA-PBE | relaxed; ΔE_f (raw) = -2697 kJ/mol of formula units; total energy = -144.84 eV for the cell shown; DOS at the Fermi energy = 0.8522 states/eV per atom
1.0
5.657 0.000 0.000
0.000 7.162 0.026
0.000 -1.573 6.987
Dy Cd O
6 2 12
direct
0.470 0.913 0.689
0.970 0.689 0.913
0.412 0.399 0.601
0.912 0.601 0.399
0.970 0.087 0.311
0.470 0.311 0.087
0.979 0.165 0.835
0.479 0.835 0.165
0.189 0.679 0.641
0.689 0.641 0.679
0.201 0.431 0.901
0.701 0.901 0.431
0.260 0.015 0.985
0.614 0.222 0.778
0.114 0.778 0.222
0.760 0.985 0.015
0.201 0.099 0.569
0.701 0.569 0.099
0.189 0.359 0.321
0.689 0.321 0.359

=====

DyCd2OsO6 | the Alexandria database | GGA-PBE | relaxed; ΔE_f (raw) = -1556 kJ/mol of formula units; total energy = -63.54 eV for the cell shown; DOS at the Fermi energy = 0.2107 states/eV per atom
1.0
-3.453 0.948 4.440
-1.389 -3.915 -3.909
5.063 -2.630 0.834
Dy Cd Os O
1 2 1 6
direct
0.997 0.498 0.480
0.527 0.763 0.276
0.466 0.233 0.685
0.997 0.998 0.980
0.533 0.878 0.736
0.460 0.118 0.225
0.897 0.779 0.224
0.121 0.341 0.224
0.872 0.655 0.736
0.096 0.217 0.736

=====

DyCdOsO6 | the Alexandria database | GGA-PBE | relaxed; ΔE_f (raw) = -1425 kJ/mol of formula units; total energy = -122.52 eV for the cell shown; DOS at the Fermi energy = 0.4541 states/eV per atom
1.0
5.546 0.000 0.000
-2.773 4.803 0.000
0.000 0.000 9.241
Dy Cd Os O
2 2 2 12
direct
0.333 0.667 0.250
0.667 0.333 0.750
0.000 0.000 0.000
0.000 0.000 0.500
0.667 0.333 0.250
0.333 0.667 0.750
0.662 0.616 0.134
0.954 0.338 0.134
0.338 0.954 0.634
0.046 0.662 0.866
0.384 0.338 0.366
0.954 0.616 0.366
0.616 0.954 0.866
0.662 0.046 0.366
0.046 0.384 0.634
0.384 0.046 0.134
0.616 0.662 0.634
0.338 0.384 0.866

=====

DyPa2CdO8 | the Alexandria database | GGA-PBE | relaxed; ΔE_f (raw) = -3481 kJ/mol of formula units; total energy = -100.25 eV for the cell shown; DOS at the Fermi energy = 0.5904 states/eV per atom
1.0
5.424 0.000 0.000
0.000 5.424 0.000
-2.712 -2.712 5.393
Dy Pa Cd O
1 2 1 8
direct
0.000 0.000 0.000
0.500 0.500 0.000
0.250 0.750 0.500
0.750 0.250 0.500
0.877 0.858 0.246
0.368 0.387 0.246
0.612 0.631 0.754
0.141 0.123 0.754
0.877 0.388 0.246
0.369 0.859 0.246
0.142 0.632 0.754
0.613 0.123 0.754